# 1
VASP calculation (PBE) on an optimized crystal structure of Er5CdIr4.

Summary:
- calculated formation energy (kJ/mol of formula units) = -759
- volume (Å³ per cell) = 208.1
- DFT total energy (eV/atom) = -6.704

a = 3.4334 Å, b = 3.4334 Å, c = 17.6559 Å
α = 90.00°, β = 90.00°, γ = 90.00°
Closest atoms and distances in Å follow each position.
Space group P4/mmm (No. 123)
Asymmetric unit:
1 Er 0.0000 0.0000 0.0000 x1  8 Ir 2.96
2 Er 0.0000 0.0000 0.1903 x2  8 Ir 2.95-2.99
3 Er 0.0000 0.0000 0.3786 x2  4 Ir 2.90, 4 Cd 3.24
4 Cd 0.5000 0.5000 0.5000 x1  8 Er 3.24, 4 Cd 3.43
5 Ir 0.5000 0.5000 0.0957 x2  8 Er 2.95-2.96
6 Ir 0.5000 0.5000 0.2887 x2  8 Er 2.90-2.99

---

# 2
VASP calculation (PBE) on an optimized crystal structure of Pu3Te2As.

Summary:
- volume (Å³ per cell) = 349.3
- raw formation energy (meV/atom) = -1074
- DFT total energy (eV/atom) = -10.062

a = 4.3249 Å, b = 6.1532 Å, c = 13.1261 Å
α = 90.00°, β = 90.00°, γ = 90.00°
Closest atoms and distances in Å follow each position.
Space group Immm (No. 71)
Asymmetric unit:
1 Pu 0.0000 0.0000 0.0000 x2  2 As 3.08, 4 Te 3.14
2 Pu 0.0000 0.0000 0.3493 x4  2 As 2.93, 4 Te 3.09-3.17
3 Te 0.0000 0.5000 0.3270 x4  6 Pu 3.09-3.17
4 As 0.0000 0.5000 0.0000 x2  6 Pu 2.93-3.08

---

# 3
VASP calculation (PBE) on an optimized crystal structure of Zr2NiSb2.

Summary:
- volume (Å³ per cell) = 211.1
- raw formation energy (meV/atom) = -324
- DFT total energy (eV/atom) = -6.548

a = 7.1735 Å, b = 7.1735 Å, c = 4.1031 Å
α = 90.00°, β = 90.00°, γ = 90.00°
Closest atoms and distances in Å follow each position.
Space group P4/mbm (No. 127)
Asymmetric unit:
1 Zr 0.1545 0.3455 0.0000 x4  6 Sb 2.82-3.02, 1 Zr 3.13
2 Ni 0.0000 0.0000 0.5000 x2  4 Sb 2.72
3 Sb 0.1542 0.6542 0.5000 x4  2 Ni 2.72, 6 Zr 2.82-3.02

---

# 4
VASP calculation (PBE) on an optimized crystal structure of LaIn2Br.

Summary:
- volume (Å³ per cell) = 127.3
- raw formation energy (meV/atom) = -663
- DFT total energy (eV/atom) = -3.682

a = 3.6059 Å, b = 3.6059 Å, c = 9.7922 Å
α = 90.00°, β = 90.00°, γ = 90.00°
Closest atoms and distances in Å follow each position.
Space group P4mm (No. 99)
Asymmetric unit:
1 La 0.0000 0.0000 0.0000 x1  4 Br 3.14, 4 In 3.42
2 In 0.0000 0.0000 0.5400 x1  8 In 3.39-3.61
3 In 0.5000 0.5000 0.7674 x1  8 In 3.39-3.61, 4 La 3.42
4 Br 0.5000 0.5000 0.1878 x1  4 La 3.14

---

# 5
VASP calculation (PBE) on an optimized crystal structure of DyY5Mg6.

Summary:
- calculated formation energy (kJ/mol of formula units) = -121
- volume (Å³ per cell) = 329.2
- DFT total energy (eV/atom) = -3.979

a = 5.3897 Å, b = 7.5584 Å, c = 8.5114 Å
α = 90.00°, β = 108.32°, γ = 90.00°
Closest atoms and distances in Å follow each position.
Space group P2/m (No. 10)
Asymmetric unit:
1 Dy 0.0000 0.0000 0.0000 x1  8 Mg 3.29
2 Y 0.0000 0.5000 0.0000 x1  8 Mg 3.29
3 Y 0.3330 0.0000 0.6673 x2  8 Mg 3.29
4 Y 0.3328 0.5000 0.6668 x2  8 Mg 3.29
5 Mg 0.1678 0.2498 0.3337 x4  7 Y 3.29, 1 Dy 3.29
6 Mg 0.5000 0.2499 0.0000 x2  6 Y 3.29, 2 Dy 3.29

---

# 6
VASP calculation (PBE) on an optimized crystal structure of Pr3CdH.

Summary:
- volume (Å³ per cell) = 129.9
- DFT total energy (eV/atom) = -3.952

a = 5.0640 Å, b = 5.0640 Å, c = 5.0640 Å
α = 90.00°, β = 90.00°, γ = 90.00°
Closest atoms and distances in Å follow each position.
Space group Pm-3m (No. 221)
Asymmetric unit:
1 Pr 0.0000 0.0000 0.5000 x3  2 H 2.53
2 Cd 0.5000 0.5000 0.5000 x1  12 Pr 3.58
3 H 0.0000 0.0000 0.0000 x1  6 Pr 2.53

---

# 7
VASP calculation (PBE) on an optimized crystal structure of K2NaCuSn.

Summary:
- calculated formation energy (kJ/mol of formula units) = 169
- volume (Å³ per cell) = 204.6
- DFT total energy (eV/atom) = -1.972

a = 6.1606 Å, b = 6.1606 Å, c = 5.3905 Å
α = 90.00°, β = 90.00°, γ = 90.00°
Closest atoms and distances in Å follow each position.
Space group P4/mmm (No. 123)
Asymmetric unit:
1 K 0.0000 0.5000 0.0000 x2  2 Cu 3.08
2 Na 0.0000 0.0000 0.5000 x1  2 Cu 2.70
3 Cu 0.0000 0.0000 0.0000 x1  2 Na 2.70
4 Sn 0.5000 0.5000 0.5000 x1  8 K 4.09, 4 Na 4.36

---

# 8
VASP calculation (PBE) on an optimized crystal structure of Ti2Ni3Pt4.

Summary:
- calculated formation energy (kJ/mol of formula units) = -557
- volume (Å³ per cell) = 251.8
- DFT total energy (eV/atom) = -7.008

a = 8.5169 Å, b = 3.8697 Å, c = 8.0301 Å
α = 90.00°, β = 107.94°, γ = 90.00°
Closest atoms and distances in Å follow each position.
Space group C2/m (No. 12)
Asymmetric unit:
1 Ti 0.1719 0.0000 0.2275 x4  5 Ni 2.59-2.75, 7 Pt 2.67-2.75
2 Ni 0.0000 0.5000 0.0000 x2  8 Pt 2.68-2.72, 4 Ti 2.75
3 Ni 0.1612 0.0000 0.5460 x4  3 Ti 2.59-2.74, 3 Ni 2.61-2.70, 6 Pt 2.62-2.76
4 Pt 0.0109 0.5000 0.3371 x4  6 Ni 2.62-2.76, 3 Ti 2.67-2.75, 3 Pt 2.68-2.75
5 Pt 0.1638 0.0000 0.8887 x4  4 Ni 2.69-2.75, 4 Ti 2.70-2.72, 4 Pt 2.73-2.75

---

Which formula does entry 7 have? K2NaCuSn

---

Which formula does entry 4 have? LaIn2Br